{"formula": "Cs4HoCl7", "functional": "GGA-PBE", "state": "relaxed", "lattice": [[4.9024, 0.0000, 1.6306], [2.3316, 11.6808, 1.1750], [-0.3318, -0.4115, 9.1821]], "species": ["Cs", "Cs", "Cs", "Cs", "Ho", "Cl", "Cl", "Cl", "Cl", "Cl", "Cl", "Cl"], "fractional_positions": [[0.6022, 0.2678, 0.5279], [0.3978, 0.7322, 0.4721], [0.7190, 0.6411, 0.9209], [0.2810, 0.3589, 0.0791], [0.0000, 0.0000, 0.0000], [0.7330, 0.8602, 0.6738], [0.2670, 0.1398, 0.3262], [0.0299, 0.8095, 0.1307], [0.9701, 0.1905, 0.8693], [0.3701, 0.5130, 0.7467], [0.5000, 0.0000, 0.0000], [0.6299, 0.4870, 0.2533]], "dos_ef_per_ev_atom": 0.00, "e_form_raw_kj_per_mol_atoms": -180.51, "rho_g_cm3": 2.94}

---

{"formula": "CsHo2Cl7", "functional": "GGA-PBE", "state": "relaxed", "lattice": [[5.3056, 0.0000, 0.0000], [0.0000, 8.1092, -0.0689], [0.0000, -3.6392, 7.2471]], "species": ["Cs", "Ho", "Ho", "Cl", "Cl", "Cl", "Cl", "Cl", "Cl", "Cl"], "fractional_positions": [[0.0000, 0.0000, 0.0000], [0.5000, 0.6958, 0.3042], [0.5000, 0.3042, 0.6958], [0.0000, 0.7021, 0.2979], [0.0000, 0.2979, 0.7021], [0.5000, 0.0459, 0.3309], [0.5000, 0.9541, 0.6691], [0.5000, 0.3309, 0.0459], [0.5000, 0.6691, 0.9541], [0.5000, 0.5000, 0.5000]], "dos_ef_per_ev_atom": 0.00, "e_above_lowest_polymorph_ev_per_atom": 0.037, "e_form_raw_kj_per_mol_atoms": -215.88, "rho_g_cm3": 3.80}

---

| no. | total magnetic moment (μB/f.u.) |
| --- | --- |
| 1 | 0.33 |
| 2 | 0.00 |